Entry 1:
A plane-wave DFT calculation with PBE-GGA was carried out for a geometry-optimized Ac2TbY structure.

Properties
- Energy above the most stable polymorph in this dataset: 0.004 eV per atom
- ΔH_f (0 K): 46.0 meV/atom
- Calculated total energy: -19.1 eV for the cell shown

a = 3.896 Å, b = 3.896 Å, c = 10.008 Å
α = 90.00°, β = 90.00°, γ = 90.00°
Fractional coordinates of all 4 atoms:
Y  0.500  0.500  0.500
Ac  0.000  0.000  0.750
Ac  0.000  0.000  0.250
Tb  0.500  0.500  0.000

Entry 2:
A plane-wave DFT calculation with PBE-GGA was carried out for a geometry-optimized Ac2TbY6 structure.

Properties
- ΔH_f (0 K): 126.2 meV/atom
- Calculated total energy: -50.5 eV for the cell shown

a = 3.647 Å, b = 8.828 Å, c = 10.154 Å
α = 101.61°, β = 90.01°, γ = 89.99°
Fractional coordinates of all 9 atoms:
Ac  0.500  0.694  0.461
Ac  0.500  0.306  0.539
Tb  0.000  0.000  0.000
Y  0.000  0.375  0.216
Y  0.000  0.017  0.676
Y  0.000  0.625  0.784
Y  0.500  0.318  0.901
Y  0.000  0.983  0.324
Y  0.500  0.682  0.099

Entry 3:
A plane-wave DFT calculation with PBE-GGA was carried out for a geometry-optimized Ac2Tb8Y3 structure.

Properties
- ΔH_f (0 K): 199.4 meV/atom
- Calculated total energy: -62.1 eV for the cell shown

a = 6.253 Å, b = 8.876 Å, c = 8.876 Å
α = 83.04°, β = 72.34°, γ = 72.34°
Fractional coordinates of all 13 atoms:
Ac  0.353  0.300  0.300
Ac  0.647  0.700  0.700
Tb  0.229  0.571  0.571
Tb  0.771  0.429  0.429
Tb  0.958  0.153  0.153
Tb  0.042  0.847  0.847
Tb  0.674  0.581  0.087
Tb  0.674  0.087  0.581
Tb  0.326  0.913  0.419
Tb  0.326  0.419  0.913
Y  0.500  0.000  0.000
Y  0.000  0.247  0.753
Y  0.000  0.753  0.247